DFT (PBE-GGA) results for a geometry-optimized Be2Co structure.

The structure belongs to space group Fd-3m (No. 227, origin choice 2); the cell edges are 9.278, 9.278 and 9.278 Å and the angles 90.00°, 90.00° and 90.00°. Symmetry generates all atoms from Be at (0.000, 0.000, 0.000) and Co at (0.125, 0.125, 0.125).

The calculation puts the magnetization at 0.000 μB/atom. As for the final energy: -2.98 eV per atom.